Compound: Li4CoO3
Source: OQMD
Functional: PBE+U
Structure: relaxed

abc: 5.5598 5.5598 6.8169
angles: 109.14 109.14 53.87
Closest atoms and distances in Å follow each position.
Atoms (fractional coordinates):
1 Co 0.3003 0.0188 0.0043  3 O 1.81-1.91
2 Co 0.0188 0.3003 0.5043  3 O 1.81-1.91
3 Li 0.7646 0.1886 0.0904  4 O 2.00-2.07
4 Li 0.9350 0.6407 0.1847  3 O 1.88-1.92
5 Li 0.3869 0.7002 0.2803  4 O 1.96-2.08
6 Li 0.5515 0.2439 0.3910  4 O 1.93-2.07
7 Li 0.1886 0.7646 0.5904  4 O 2.00-2.07
8 Li 0.6407 0.9350 0.6847  3 O 1.88-1.92
9 Li 0.7002 0.3869 0.7803  4 O 1.96-2.08
10 Li 0.2439 0.5515 0.8910  4 O 1.93-2.07
11 O 0.5902 0.6214 0.0564  5 Li 1.88-2.07, 1 Co 1.88
12 O 0.3287 0.3464 0.1084  1 Co 1.81, 3 Li 1.92-1.97
13 O 0.9702 0.9749 0.3422  5 Li 1.90-2.03, 1 Co 1.91
14 O 0.6214 0.5902 0.5564  5 Li 1.88-2.07, 1 Co 1.88
15 O 0.3464 0.3287 0.6084  1 Co 1.81, 3 Li 1.92-1.97
16 O 0.9749 0.9702 0.8422  5 Li 1.90-2.03, 1 Co 1.91

Total magnetic moment, Bohr magnetons per cell: 5.999
Symmetry: Cc (9)
E, eV per atom: -5.073